Record 1
DFT (GGA-PBE) results for a relaxed structure of LiErTm2Te4.

POSCAR file:
```
LiErTm2Te4
1.0
-2.0701 2.7153 2.5668
-4.9678 -5.3160 1.6170
5.6104 -0.3371 4.8814
Li Er Tm Te
1 1 2 4
Cartesian
0.0000 0.0000 0.0000
-3.5189 -1.3003 2.0919
1.7701 1.1891 3.7241
0.3213 -2.8266 3.2492
-0.8732 -0.0189 2.8702
-0.5544 -2.9189 6.1950
3.0111 -1.5546 4.0729
-2.3684 -4.0986 2.4255
```

Summary:
E_form (uncorrected) = -1.250 eV per atom
DFT total energy = -38.0 eV per formula unit
Space-group type = P2/m
Volume = 223.9 Å³ per cell


Record 2
DFT (GGA-PBE) results for a relaxed structure of Li3Er3TmTe8.

POSCAR file:
```
Li3Er3TmTe8
1.0
8.5614 0.0000 0.0000
-4.2807 7.4139 -0.0306
0.0000 -4.9189 7.0916
Li Er Tm Te
3 3 1 8
Cartesian
0.0000 0.0000 0.0000
-2.1403 3.7070 -0.0153
2.1403 3.7070 -0.0153
4.2807 -2.4595 3.5458
2.1403 1.2475 3.5305
-2.1403 1.2475 3.5305
0.0000 -2.4595 3.5458
0.0000 2.4757 1.7182
4.2807 0.0193 5.3429
4.2807 2.4732 1.7351
0.0000 0.0218 5.3259
2.1386 6.1836 1.7201
2.1421 -3.6887 5.3410
-2.1386 6.1836 1.7201
6.4193 -3.6887 5.3410
```

Summary:
E_form (uncorrected) = -1.223 eV per atom
DFT total energy = -67.4 eV per formula unit
Space-group type = R-3m
Volume = 448.8 Å³ per cell


Q: Look up the DFT total energy of the first one.
A: -38.0 eV per formula unit